# TcMoRh3

TcMoRh3 after structural relaxation (GGA-PBE, the Alexandria database).

Geometry as CIF:
```
data_TcMoRh3
_symmetry_space_group_name_H-M 'P m -3 m'
_symmetry_Int_Tables_number 221
_symmetry_space_group_name_Hall '-P 4 2 3'
_cell_length_a 4.648
_cell_length_b 4.648
_cell_length_c 4.648
_cell_angle_alpha 90.00
_cell_angle_beta 90.00
_cell_angle_gamma 90.00
loop_
_atom_site_label
_atom_site_type_symbol
_atom_site_fract_x
_atom_site_fract_y
_atom_site_fract_z
Tc1 Tc 0.000 0.000 0.000
Mo1 Mo 0.500 0.500 0.500
Rh1 Rh 0.000 0.500 0.500
```

## Properties
**Crystal system**: cubic
**Energy of formation from the pure elements**: 1.4548 eV per atom
**DOS at the Fermi energy**: 0.891 states/eV/atom